[1]
Computed, not measured: crystalline NaTeP2Cl at its relaxed geometry at the PBE level of DFT.

Values from the calculation:
- V: 123 Å³ per cell
- Fermi-level density of states: 4.85 states/eV/f.u.
- Magnetic moment: 0.195 Bohr magnetons per cell
- Raw formation energy: 0.873 eV/atom
- Energy relative to the lowest polymorph listed for this composition: 0.523 eV/atom
- SG: P4/mmm

```
5
Lattice="5.147 0.000 0.000 0.000 5.147 0.000 0.000 0.000 4.635" Properties=species:S:1:pos:R:3 pbc="T T T"
Na 0.000 0.000 0.000
Te 2.573 2.573 2.318
P 0.000 2.573 0.000
P 2.573 0.000 0.000
Cl 0.000 0.000 2.318
```

---

[2]
Computed, not measured: crystalline ErTmInIr at its relaxed geometry at the PBE level of DFT.

Values from the calculation:
- V: 89 Å³ per cell
- Fermi-level density of states: 2.07 states/eV/f.u.
- Formation energy from the elements: -590 meV/atom
- Magnetic moment: 0.000 Bohr magnetons per cell
- Energy relative to the lowest polymorph listed for this composition: 0.109 eV/atom
- SG: F-43m

```
4
Lattice="0.000 3.549 3.549 3.549 0.000 3.549 3.549 3.549 0.000" Properties=species:S:1:pos:R:3 pbc="T T T"
Er 0.000 0.000 0.000
Tm 3.549 3.549 3.549
In 1.775 1.775 1.775
Ir 5.324 5.324 5.324
```

---

> What is the magnetic moment in the first record?

0.195 Bohr magnetons per cell

---

What did the second record say?
Computed, not measured: crystalline ErTmInIr at its relaxed geometry at the PBE level of DFT.

Values from the calculation:
- V: 89 Å³ per cell
- Fermi-level density of states: 2.07 states/eV/f.u.
- Formation energy from the elements: -590 meV/atom
- Magnetic moment: 0.000 Bohr magnetons per cell
- Energy relative to the lowest polymorph listed for this composition: 0.109 eV/atom
- SG: F-43m

```
4
Lattice="0.000 3.549 3.549 3.549 0.000 3.549 3.549 3.549 0.000" Properties=species:S:1:pos:R:3 pbc="T T T"
Er 0.000 0.000 0.000
Tm 3.549 3.549 3.549
In 1.775 1.775 1.775
Ir 5.324 5.324 5.324
```